# 1
Compound: Rb2PaSn2O6
Source: Alexandria
Functional: GGA-PBE
Structure: optimized geometry

Computed properties:
- DFT total energy (eV/atom) = -6.553
- D(E_F) (states/eV per cell) = 3.92

Unit cell a=10.415 b=6.337 c=7.487 alpha=90.00 beta=114.56 gamma=90.00
Space group C2/m (No. 12)
Unique sites:
Rb1 0.210 0.000 0.163
Pa1 0.000 0.000 0.500
Sn1 0.073 0.500 0.227
O1 0.030 0.247 0.724
O2 0.222 0.000 0.562

# 2
Compound: YAgBr
Source: Alexandria
Functional: GGA-PBE
Structure: optimized geometry

Computed properties:
- DFT total energy (eV/atom) = -4.481
- D(E_F) (states/eV per cell) = 4.29

Unit cell a=3.574 b=3.574 c=12.298 alpha=90.00 beta=90.00 gamma=90.00
Space group P4/nmm (No. 129, origin choice 2)
Unique sites:
Y1 0.250 0.250 0.212
Ag1 0.250 0.250 0.943
Br1 0.250 0.250 0.648

# 3
Compound: CuWI2N
Source: Alexandria
Functional: GGA-PBE
Structure: optimized geometry

Computed properties:
- DFT total energy (eV/atom) = -5.071
- D(E_F) (states/eV per cell) = 2.31

Unit cell a=5.615 b=5.615 c=3.833 alpha=90.00 beta=90.00 gamma=90.00
Space group P4/mmm (No. 123)
Unique sites:
Cu1 0.000 0.000 0.000
W1 0.500 0.500 0.500
I1 0.000 0.500 0.500
N1 0.500 0.500 0.000